# 1
Entry from Alexandria via LeMat-Bulk: a geometry-optimized ErSc4In2 structure (GGA-PBE).

Cell: 4.023 4.023 11.487 Å, 100.09 100.09 90.00°
Positions (direct):
Er 0.000 0.000 0.000
Sc 0.138 0.138 0.277
Sc 0.862 0.862 0.723
Sc 0.750 0.250 0.500
Sc 0.250 0.750 0.500
In 0.583 0.583 0.165
In 0.417 0.417 0.835

Calculated values
VASP energy, eV per atom: -4.97
Size of the total moment, μB/f.u.: 0.0
V, Å³/f.u.: 180.1
DFT formation energy, eV per atom: 0.0813

# 2
Entry from Alexandria via LeMat-Bulk: a geometry-optimized ErScIn3 structure (GGA-PBE).

Cell: 6.103 7.110 7.110 Å, 120.00 90.00 90.00°
Positions (direct):
Er 0.250 0.334 0.666
Er 0.750 0.666 0.334
Sc 0.000 0.000 0.000
Sc 0.500 0.000 0.000
In 0.250 0.802 0.198
In 0.750 0.198 0.802
In 0.250 0.802 0.604
In 0.750 0.198 0.396
In 0.250 0.396 0.198
In 0.750 0.604 0.802

Calculated values
VASP energy, eV per atom: -3.98
Size of the total moment, μB/f.u.: 0.0
V, Å³/f.u.: 133.6
DFT formation energy, eV per atom: -0.1563

# 3
Entry from Alexandria via LeMat-Bulk: a geometry-optimized Er2Sc3In structure (GGA-PBE).

Cell: 4.638 4.630 7.547 Å, 107.86 90.00 90.00°
Positions (direct):
Er 0.000 0.661 0.322
Er 0.000 0.339 0.678
Sc 0.500 0.168 0.336
Sc 0.500 0.500 0.000
Sc 0.500 0.832 0.664
In 0.000 0.000 0.000

Calculated values
VASP energy, eV per atom: -5.29
Size of the total moment, μB/f.u.: 0.0
V, Å³/f.u.: 154.3
DFT formation energy, eV per atom: -0.1457

# 4
Entry from Alexandria via LeMat-Bulk: a geometry-optimized Er4ScIn structure (GGA-PBE).

Cell: 5.130 5.131 7.467 Å, 89.96 89.97 90.00°
Positions (direct):
Er 0.501 0.997 0.249
Er 0.501 0.998 0.747
Er 0.001 0.497 0.747
Er 0.001 0.497 0.249
Sc 0.001 0.997 0.498
In 0.501 0.497 0.998

Calculated values
VASP energy, eV per atom: -4.23
Size of the total moment, μB/f.u.: 0.0
V, Å³/f.u.: 196.6
DFT formation energy, eV per atom: 0.3262